A relaxed structure of BeGa2Pb2. Source: the Alexandria database, functional PBE.

Properties
The total magnetization is 0.00 μB/f.u. The formation energy is 0.273 eV per atom. The calculated total energy comes out at -15.83 eV/f.u.

Cell: 6.516 6.516 5.288 Å, 90.00 90.00 90.00°
Space group P4/mbm (No. 127)
Unique sites:
1 Be 0.000 0.000 0.000 [2 per cell]
2 Ga 0.147 0.353 0.000 [4 per cell]
3 Pb 0.181 0.681 0.500 [4 per cell]